Material: NaAcTb2Tl4
Method: DFT, PBE-GGA
State: relaxed Values from VASP.

Cell and atoms, written as Quantum ESPRESSO input:
```
&SYSTEM
  ibrav = 0, nat = 8, ntyp = 4
/
ATOMIC_SPECIES
Na 22.99 Na.upf
Ac 227.00 Ac.upf
Tb 158.93 Tb.upf
Tl 204.38 Tl.upf
CELL_PARAMETERS angstrom
2.717 1.569 9.305
-2.717 1.569 9.305
0.000 -3.137 9.305
ATOMIC_POSITIONS crystal
Na 0.000 0.000 0.000
Ac 0.500 0.500 0.500
Tb 0.257 0.257 0.257
Tb 0.743 0.743 0.743
Tl 0.118 0.118 0.118
Tl 0.372 0.372 0.372
Tl 0.628 0.628 0.628
Tl 0.882 0.882 0.882
```

Results
As for the formation energy: -0.273 eV per atom. The space group is R-3m. For the density of states at the Fermi level, the calculation gives 0.692 states/eV per atom.